(P)
DFT (GGA-PBE) results for Cs2As2Pt3 after structural relaxation.

Results
N(E_F) = 0.34 states/eV per cell

a b c (Å): 4.4457 9.0983 7.5898
angles (deg): 127.13 107.03 90.00
Closest atoms and distances in Å follow each position.
Atoms (fractional coordinates):
Cs 0.4501 0.2244 0.9003  3 Pt 3.39-3.66
Cs 0.5499 0.7756 0.0997  3 Pt 3.39-3.66
As 0.2064 0.2769 0.4128  4 Pt 2.41-2.52
As 0.7936 0.7231 0.5872  4 Pt 2.41-2.52
Pt 0.0000 0.0000 0.0000  2 As 2.41
Pt 0.2394 0.5836 0.4789  3 As 2.43-2.52
Pt 0.7606 0.4164 0.5211  3 As 2.43-2.52



(Q)
DFT (GGA-PBE) results for Cs2As2Pt3 after structural relaxation.

Results
N(E_F) = 1.83 states/eV per cell

a b c (Å): 4.0639 7.0491 7.5632
angles (deg): 72.86 74.42 73.25
Closest atoms and distances in Å follow each position.
Atoms (fractional coordinates):
Cs 0.1096 0.5445 0.2363  4 As 3.61-3.70, 1 Cs 3.75, 5 Pt 3.75-3.84
Cs 0.8904 0.4555 0.7637  4 As 3.61-3.70, 1 Cs 3.75, 5 Pt 3.75-3.84
As 0.1541 0.9072 0.7846  2 Pt 2.43
As 0.8459 0.0928 0.2154  2 Pt 2.43
Pt 0.5000 0.0000 0.0000  4 As 2.73, 2 Pt 2.76
Pt 0.3253 0.9640 0.3853  2 As 2.43
Pt 0.6747 0.0360 0.6147  2 As 2.43



Of them, (P) has the highest stability.



(P)
DFT (GGA-PBE) results for CsAs2PtSe after structural relaxation.

Results
N(E_F) = 6.42 states/eV per cell

a b c (Å): 5.7351 5.7351 5.4292
angles (deg): 90.00 90.00 90.00
Closest atoms and distances in Å follow each position.
Atoms (fractional coordinates):
Cs 0.0000 0.0000 0.0000  2 Se 2.71, 4 As 2.87
As 0.0000 0.5000 0.0000  2 Cs 2.87
As 0.5000 0.0000 0.0000  2 Cs 2.87
Se 0.0000 0.0000 0.5000  2 Cs 2.71
Pt 0.5000 0.5000 0.5000  8 As 3.95, 4 Se 4.06



(Q)
DFT (GGA-PBE) results for CsAs2PtSe after structural relaxation.

Results
N(E_F) = 2.66 states/eV per cell

a b c (Å): 4.9648 4.9648 5.6897
angles (deg): 90.00 90.00 90.00
Closest atoms and distances in Å follow each position.
Atoms (fractional coordinates):
Cs 0.5000 0.5000 0.5000  4 Se 3.51, 8 As 3.78
As 0.0000 0.5000 0.0000  2 Pt 2.48
As 0.5000 0.0000 0.0000  2 Pt 2.48
Se 0.0000 0.0000 0.5000  2 Pt 2.84
Pt 0.0000 0.0000 0.0000  4 As 2.48



Of them, (Q) has the highest stability.



(P)
DFT (GGA-PBE) results for CsSnAsPt2 after structural relaxation.

Results
N(E_F) = 1.38 states/eV per cell

a b c (Å): 4.9465 5.5129 4.9465
angles (deg): 90.00 90.00 90.00
Closest atoms and distances in Å follow each position.
Atoms (fractional coordinates):
Cs 0.5000 0.5000 0.5000  4 Sn 3.50, 8 Pt 3.70
As 0.0000 0.0000 0.0000  4 Pt 2.47, 2 Sn 2.76
Sn 0.0000 0.5000 0.0000  2 As 2.76
Pt 0.0000 0.0000 0.5000  2 As 2.47
Pt 0.5000 0.0000 0.0000  2 As 2.47



(Q)
DFT (GGA-PBE) results for CsSnAsPt2 after structural relaxation.

Results
N(E_F) = 2.95 states/eV per cell

a b c (Å): 5.1989 5.1989 5.7020
angles (deg): 90.00 90.00 90.00
Closest atoms and distances in Å follow each position.
Atoms (fractional coordinates):
Cs 0.0000 0.0000 0.0000  4 Pt 2.60, 2 As 2.85
As 0.0000 0.0000 0.5000  2 Cs 2.85
Sn 0.5000 0.5000 0.5000  4 As 3.68, 8 Pt 3.86
Pt 0.0000 0.5000 0.0000  2 Cs 2.60
Pt 0.5000 0.0000 0.0000  2 Cs 2.60



Of them, (P) has the highest stability.



(P)
DFT (GGA-PBE) results for CsRbAs2 after structural relaxation.

Results
N(E_F) = 4.43 states/eV per cell

a b c (Å): 4.4627 6.9270 10.1084
angles (deg): 90.00 90.00 90.00
Closest atoms and distances in Å follow each position.
Atoms (fractional coordinates):
Cs 0.0000 0.1500 0.6782  7 As 3.74-3.84
Cs 0.0000 0.8500 0.1782  7 As 3.74-3.84
Rb 0.5000 0.3528 0.3183  7 As 3.63-4.01
Rb 0.5000 0.6472 0.8183  7 As 3.63-4.01
As 0.0000 0.6579 0.5259  2 As 2.55
As 0.0000 0.3421 0.0259  2 As 2.55
As 0.5000 0.8225 0.4776  2 As 2.55
As 0.5000 0.1775 0.9776  2 As 2.55



(Q)
DFT (GGA-PBE) results for CsRbAs2 after structural relaxation.

Results
N(E_F) = 4.72 states/eV per cell

a b c (Å): 5.9271 5.9271 5.9271
angles (deg): 60.00 60.00 60.00
Closest atoms and distances in Å follow each position.
Atoms (fractional coordinates):
Cs 0.5000 0.5000 0.5000  8 As 3.63
As 0.2500 0.2500 0.2500  4 Rb 3.63, 4 Cs 3.63
As 0.7500 0.7500 0.7500  4 Cs 3.63, 4 Rb 3.63
Rb 0.0000 0.0000 0.0000  8 As 3.63



Of them, (P) has the highest stability.



(P)
DFT (GGA-PBE) results for CsRbAs3 after structural relaxation.

Results
N(E_F) = 8.04 states/eV per cell

a b c (Å): 5.9568 5.9568 5.9568
angles (deg): 90.00 90.00 90.00
Closest atoms and distances in Å follow each position.
Atoms (fractional coordinates):
Cs 0.5000 0.5000 0.5000  12 As 4.21
As 0.0000 0.5000 0.0000  2 Rb 2.98
As 0.0000 0.0000 0.5000  2 Rb 2.98
As 0.5000 0.0000 0.0000  2 Rb 2.98
Rb 0.0000 0.0000 0.0000  6 As 2.98



(Q)
DFT (GGA-PBE) results for CsRbAs3 after structural relaxation.

Results
N(E_F) = 9.01 states/eV per cell

a b c (Å): 5.9777 5.9777 5.9777
angles (deg): 90.00 90.00 90.00
Closest atoms and distances in Å follow each position.
Atoms (fractional coordinates):
Cs 0.0000 0.0000 0.0000  6 As 2.99
As 0.0000 0.5000 0.0000  2 Cs 2.99
As 0.0000 0.0000 0.5000  2 Cs 2.99
As 0.5000 0.0000 0.0000  2 Cs 2.99
Rb 0.5000 0.5000 0.5000  12 As 4.23



Of them, (P) has the highest stability.



(P)
DFT (GGA-PBE) results for CsRb3As after structural relaxation.

Results
N(E_F) = 8.67 states/eV per cell

a b c (Å): 6.9839 6.9839 6.9839
angles (deg): 90.00 90.00 90.00
Closest atoms and distances in Å follow each position.
Atoms (fractional coordinates):
Cs 0.5000 0.5000 0.5000  12 Rb 4.94
As 0.0000 0.0000 0.0000  6 Rb 3.49
Rb 0.0000 0.5000 0.0000  2 As 3.49
Rb 0.0000 0.0000 0.5000  2 As 3.49
Rb 0.5000 0.0000 0.0000  2 As 3.49



(Q)
DFT (GGA-PBE) results for CsRb3As after structural relaxation.

Results
N(E_F) = 9.88 states/eV per cell

a b c (Å): 7.3442 7.3442 7.3442
angles (deg): 90.00 90.00 90.00
Closest atoms and distances in Å follow each position.
Atoms (fractional coordinates):
Cs 0.0000 0.0000 0.0000  6 Rb 3.67
As 0.5000 0.5000 0.5000  12 Rb 5.19
Rb 0.0000 0.5000 0.0000  2 Cs 3.67
Rb 0.0000 0.0000 0.5000  2 Cs 3.67
Rb 0.5000 0.0000 0.0000  2 Cs 3.67



(R)
DFT (GGA-PBE) results for CsRb3As after structural relaxation.

Results
N(E_F) = 2.63 states/eV per cell

a b c (Å): 6.1674 6.0873 13.7708
angles (deg): 89.94 77.06 89.73
Closest atoms and distances in Å follow each position.
Atoms (fractional coordinates):
Cs 0.6498 0.7500 0.3489  8 Rb 3.67-4.02
Cs 0.9986 0.2500 0.6511  8 Rb 3.67-4.02
Rb 0.7476 0.2500 0.1532  2 As 3.99, 2 Cs 4.02, 4 Rb 4.32-4.34
Rb 0.4035 0.2500 0.8414  2 As 3.91, 2 Cs 4.00, 4 Rb 4.32-4.34
Rb 0.5737 0.2500 0.5010  4 Cs 3.67-3.68, 4 As 3.70-3.75
Rb 0.2449 0.7500 0.1586  2 As 3.91, 2 Cs 4.00, 4 Rb 4.32-4.34
Rb 0.9008 0.7500 0.8468  2 As 3.99, 2 Cs 4.02, 4 Rb 4.32-4.34
Rb 0.0747 0.7500 0.4990  4 Cs 3.67-3.68, 4 As 3.70-3.75
As 0.4951 0.7500 0.6581  8 Rb 3.70-3.99
As 0.1532 0.2500 0.3419  8 Rb 3.70-3.99



Of them, (R) has the highest stability.



(P)
DFT (GGA-PBE) results for Cs4Rb2As after structural relaxation.

Results
N(E_F) = 3.58 states/eV per cell

a b c (Å): 5.8020 7.7659 14.1721
angles (deg): 114.85 101.81 90.00
Closest atoms and distances in Å follow each position.
Atoms (fractional coordinates):
Cs 0.0848 0.4821 0.1696  1 As 3.46
Cs 0.9152 0.5179 0.8304  1 As 3.46
Cs 0.4252 0.0228 0.8505  2 As 3.61
Cs 0.5748 0.9772 0.1495  2 As 3.61
As 0.0000 0.0000 0.0000  6 Cs 3.46-3.61
Rb 0.2406 0.2348 0.4812  4 Rb 4.86-4.88, 5 Cs 5.07-5.43
Rb 0.7594 0.7652 0.5188  4 Rb 4.86-4.88, 5 Cs 5.07-5.43



(Q)
DFT (GGA-PBE) results for Cs4Rb2As after structural relaxation.

Results
N(E_F) = 8.79 states/eV per cell

a b c (Å): 7.0862 7.0862 14.6157
angles (deg): 75.97 75.97 90.00
Closest atoms and distances in Å follow each position.
Atoms (fractional coordinates):
Cs 0.8746 0.8746 0.2508  1 As 3.44
Cs 0.1254 0.1254 0.7492  1 As 3.44
Cs 0.0000 0.5000 0.0000  2 As 3.54
Cs 0.5000 0.0000 0.0000  2 As 3.54
As 0.0000 0.0000 0.0000  6 Cs 3.44-3.54
Rb 0.7005 0.7005 0.5991  1 Cs 4.78
Rb 0.2995 0.2995 0.4009  1 Cs 4.78



Of them, (P) has the highest stability.



(P)
DFT (GGA-PBE) results for CsRe3As after structural relaxation.

Results
N(E_F) = 6.13 states/eV per cell

a b c (Å): 4.9358 4.9358 4.9358
angles (deg): 90.00 90.00 90.00
Closest atoms and distances in Å follow each position.
Atoms (fractional coordinates):
Cs 0.0000 0.0000 0.0000  6 Re 2.47
Re 0.0000 0.5000 0.0000  2 Cs 2.47
Re 0.0000 0.0000 0.5000  2 Cs 2.47
Re 0.5000 0.0000 0.0000  2 Cs 2.47
As 0.5000 0.5000 0.5000  12 Re 3.49



(Q)
DFT (GGA-PBE) results for CsRe3As after structural relaxation.

Results
N(E_F) = 5.14 states/eV per cell

a b c (Å): 4.8040 4.8040 4.8040
angles (deg): 90.00 90.00 90.00
Closest atoms and distances in Å follow each position.
Atoms (fractional coordinates):
Cs 0.5000 0.5000 0.5000  12 Re 3.40
Re 0.0000 0.5000 0.0000  2 As 2.40
Re 0.0000 0.0000 0.5000  2 As 2.40
Re 0.5000 0.0000 0.0000  2 As 2.40
As 0.0000 0.0000 0.0000  6 Re 2.40



Of them, (Q) has the highest stability.



(P)
DFT (GGA-PBE) results for Cs2ReAs after structural relaxation.

Results
N(E_F) = 4.62 states/eV per cell

a b c (Å): 6.1973 6.1973 6.1973
angles (deg): 60.00 60.00 60.00
Closest atoms and distances in Å follow each position.
Atoms (fractional coordinates):
Cs 0.2500 0.2500 0.2500  4 As 3.80, 4 Re 3.80
Cs 0.7500 0.7500 0.7500  4 As 3.80, 4 Re 3.80
Re 0.5000 0.5000 0.5000  8 Cs 3.80
As 0.0000 0.0000 0.0000  8 Cs 3.80



(Q)
DFT (GGA-PBE) results for Cs2ReAs after structural relaxation.

Results
N(E_F) = 8.59 states/eV per cell

a b c (Å): 9.8333 9.8333 9.8333
angles (deg): 93.33 93.33 152.11
Closest atoms and distances in Å follow each position.
Atoms (fractional coordinates):
Cs 0.6250 0.2990 0.1740  2 As 3.58, 2 Re 3.95
Cs 0.1250 0.4510 0.8260  2 As 3.58, 2 Re 3.95
Cs 0.7010 0.8750 0.3260  2 As 3.58, 2 Re 3.95
Cs 0.5490 0.3750 0.6740  2 As 3.58, 2 Re 3.95
Re 0.0000 0.0000 0.0000  2 As 2.37
Re 0.2500 0.7500 0.5000  2 As 2.37
As 0.5000 0.5000 0.0000  2 Re 2.37
As 0.7500 0.2500 0.5000  2 Re 2.37



Of them, (Q) has the highest stability.



(P)
DFT (GGA-PBE) results for CsAs2RhSe after structural relaxation.

Results
N(E_F) = 4.18 states/eV per cell

a b c (Å): 4.8339 4.8339 5.7505
angles (deg): 90.00 90.00 90.00
Closest atoms and distances in Å follow each position.
Atoms (fractional coordinates):
Cs 0.5000 0.5000 0.5000  4 Se 3.42, 8 As 3.76
As 0.0000 0.5000 0.0000  2 Rh 2.42
As 0.5000 0.0000 0.0000  2 Rh 2.42
Rh 0.0000 0.0000 0.0000  4 As 2.42
Se 0.0000 0.0000 0.5000  2 Rh 2.88



(Q)
DFT (GGA-PBE) results for CsAs2RhSe after structural relaxation.

Results
N(E_F) = 8.19 states/eV per cell

a b c (Å): 5.7217 5.7217 5.5025
angles (deg): 90.00 90.00 90.00
Closest atoms and distances in Å follow each position.
Atoms (fractional coordinates):
Cs 0.0000 0.0000 0.0000  2 Se 2.75, 4 As 2.86
As 0.0000 0.5000 0.0000  2 Cs 2.86
As 0.5000 0.0000 0.0000  2 Cs 2.86
Rh 0.5000 0.5000 0.5000  8 As 3.97, 4 Se 4.05
Se 0.0000 0.0000 0.5000  2 Cs 2.75



Of them, (P) has the highest stability.



(P)
DFT (GGA-PBE) results for CsAsRhSe2 after structural relaxation.

Results
N(E_F) = 14.57 states/eV per cell

a b c (Å): 5.5420 5.5420 5.8415
angles (deg): 90.00 90.00 90.00
Closest atoms and distances in Å follow each position.
Atoms (fractional coordinates):
Cs 0.0000 0.0000 0.0000  4 Se 2.77, 2 As 2.92
As 0.0000 0.0000 0.5000  2 Cs 2.92
Rh 0.5000 0.5000 0.5000  4 As 3.92, 8 Se 4.03
Se 0.0000 0.5000 0.0000  2 Cs 2.77
Se 0.5000 0.0000 0.0000  2 Cs 2.77



(Q)
DFT (GGA-PBE) results for CsAsRhSe2 after structural relaxation.

Results
N(E_F) = 6.53 states/eV per cell

a b c (Å): 5.3631 5.3631 4.6699
angles (deg): 90.00 90.00 90.00
Closest atoms and distances in Å follow each position.
Atoms (fractional coordinates):
Cs 0.5000 0.5000 0.5000  8 Se 3.56, 4 As 3.79
As 0.0000 0.0000 0.5000  2 Rh 2.33
Rh 0.0000 0.0000 0.0000  2 As 2.33
Se 0.0000 0.5000 0.0000  2 Rh 2.68
Se 0.5000 0.0000 0.0000  2 Rh 2.68



Of them, (Q) has the highest stability.



(P)
DFT (GGA-PBE) results for CsAsS after structural relaxation.

Results
N(E_F) = 0.09 states/eV per cell

a b c (Å): 4.1410 6.7326 8.1295
angles (deg): 75.63 89.98 72.11
Closest atoms and distances in Å follow each position.
Atoms (fractional coordinates):
Cs 0.5056 0.4350 0.5928  5 S 3.54-3.56, 2 As 3.94-3.95
Cs 0.6851 0.0737 0.2298  5 S 3.54-3.56, 2 As 3.95
As 0.9123 0.6198 0.9435  1 S 2.21
As 0.2778 0.8886 0.8791  1 S 2.21
S 0.2295 0.9860 0.5980  1 As 2.21
S 0.9609 0.5227 0.2245  1 As 2.21



(Q)
DFT (GGA-PBE) results for CsAsS after structural relaxation.

a b c (Å): 5.0736 7.0506 7.1681
angles (deg): 115.07 71.15 101.49
Closest atoms and distances in Å follow each position.
Atoms (fractional coordinates):
S 0.2167 0.7928 0.9247  2 As 2.25-2.40
S 0.8307 0.5507 0.4952  1 As 2.21
Cs 0.2481 0.1842 0.4681  3 S 3.52-3.73, 1 As 3.76
Cs 0.5666 0.5396 0.0863  3 S 3.47-3.56
As 0.6638 0.8609 0.7038  2 S 2.21-2.40
As 0.9429 0.0346 0.9767  1 S 2.25



Of them, (P) has the highest stability.



(P)
DFT (GGA-PBE) results for Cs2AsS after structural relaxation.

Results
N(E_F) = 0.00 states/eV per cell

a b c (Å): 6.0961 6.0961 6.0961
angles (deg): 60.00 60.00 60.00
Closest atoms and distances in Å follow each position.
Atoms (fractional coordinates):
Cs 0.2500 0.2500 0.2500  4 S 3.73, 4 As 3.73
Cs 0.7500 0.7500 0.7500  4 S 3.73, 4 As 3.73
As 0.5000 0.5000 0.5000  8 Cs 3.73
S 0.0000 0.0000 0.0000  8 Cs 3.73



(Q)
DFT (GGA-PBE) results for Cs2AsS after structural relaxation.

Results
N(E_F) = 8.27 states/eV per cell

a b c (Å): 9.2532 9.2532 9.2532
angles (deg): 94.32 94.32 148.16
Closest atoms and distances in Å follow each position.
Atoms (fractional coordinates):
Cs 0.6250 0.3002 0.1752  2 S 3.34
Cs 0.1250 0.4498 0.8248  2 S 3.34
Cs 0.6998 0.8750 0.3248  2 S 3.34
Cs 0.5502 0.3750 0.6752  2 S 3.34
As 0.0000 0.0000 0.0000  2 S 2.54
As 0.2500 0.7500 0.5000  2 S 2.54
S 0.5000 0.5000 0.0000  2 As 2.54
S 0.7500 0.2500 0.5000  2 As 2.54



Of them, (Q) has the highest stability.